# PBEsol SrSm2O4, relaxed
# VASP energy	-7.976	eV per atom
# energy relative to the elements, uncorrected	-3258.8	meV/atom
data_SrSm2O4
_cell_length_a 10.017
_cell_length_b 3.503
_cell_length_c 12.063
_cell_angle_alpha 90.00
_cell_angle_beta 90.00
_cell_angle_gamma 90.00
_space_group_name_H-M_alt 'P n m a'
_space_group_IT_number 62
loop_
_space_group_symop_operation_xyz
'x,y,z'
'-x,-y,-z'
'-x+1/2,-y,z+1/2'
'x+1/2,y,-z+1/2'
'x+1/2,-y+1/2,-z+1/2'
'-x+1/2,y+1/2,z+1/2'
'-x,y+1/2,-z'
'x,-y+1/2,z'
loop_
_atom_site_label
_atom_site_type_symbol
_atom_site_fract_x
_atom_site_fract_y
_atom_site_fract_z
Sr1 Sr 0.246 0.250 0.149
Sm1 Sm 0.069 0.750 0.385
Sm2 Sm 0.091 0.750 0.891
O1 O 0.001 0.250 0.284
O2 O 0.068 0.750 0.082
O3 O 0.137 0.250 0.514
O4 O 0.219 0.250 0.815

***

# PBEsol SrSm2O4, relaxed
# VASP energy	-7.943	eV per atom
# energy relative to the elements, uncorrected	-3225.6	meV/atom
data_SrSm2O4
_cell_length_a 3.423
_cell_length_b 11.384
_cell_length_c 11.227
_cell_angle_alpha 90.00
_cell_angle_beta 90.00
_cell_angle_gamma 90.00
_space_group_name_H-M_alt 'C m c m'
_space_group_IT_number 63
_space_group_name_Hall '-C 2c 2'
loop_
_atom_site_label
_atom_site_type_symbol
_atom_site_fract_x
_atom_site_fract_y
_atom_site_fract_z
Sr1 Sr 0.000 0.113 0.250
Sm1 Sm 0.000 0.368 0.074
O1 O 0.000 0.000 0.000
O2 O 0.000 0.265 0.611
O3 O 0.000 0.462 0.250

***

Ordered E above lowest polymorph results: 0.000 0.033; unit eV per atom.